# 1
Entry from the Alexandria database: a crystal of TcC3 relaxed with PBEsol (meta-GGA SCAN).

Output
The energy of formation from the pure elements is 1.247 eV per atom. Its space group is Pmmm (47). For the polymorph energy (0 for the lowest one), the calculation gives 0.143 eV/atom.

Cell lengths 2.641, 3.099, 4.974 Å; angles 90.00, 90.00, 90.00 degrees
Fractional coordinates of all 4 atoms:
Tc  0.000  0.000  0.000
C  0.000  0.000  0.500
C  0.500  0.000  0.500
C  0.500  0.500  0.000


# 2
Entry from the Alexandria database: a crystal of Tc4C5 relaxed with PBEsol (meta-GGA SCAN).

Output
The energy of formation from the pure elements is 1.139 eV per atom. Its space group is I4/mmm (139).

Cell lengths 5.791, 5.791, 5.791 Å; angles 93.16, 93.16, 152.84 degrees
Fractional coordinates of all 9 atoms:
Tc  0.000  0.255  0.255
Tc  0.000  0.745  0.745
Tc  0.255  0.000  0.255
Tc  0.745  0.000  0.745
C  0.000  0.000  0.000
C  0.287  0.287  0.574
C  0.287  0.713  0.000
C  0.713  0.287  0.000
C  0.713  0.713  0.426


# 3
Entry from the Alexandria database: a crystal of TcC2 relaxed with PBEsol (meta-GGA SCAN).

Output
The energy of formation from the pure elements is 2.810 eV per atom. Its space group is Fd-3m (227). For the polymorph energy (0 for the lowest one), the calculation gives 2.091 eV/atom.

Cell lengths 4.217, 4.217, 4.217 Å; angles 60.00, 60.00, 60.00 degrees
Fractional coordinates of all 6 atoms:
Tc  0.125  0.125  0.125
Tc  0.875  0.875  0.875
C  0.000  0.500  0.500
C  0.500  0.000  0.500
C  0.500  0.500  0.000
C  0.500  0.500  0.500


# 4
Entry from the Alexandria database: a crystal of TcC3 relaxed with PBEsol (meta-GGA SCAN).

Output
The energy of formation from the pure elements is 1.483 eV per atom. Its space group is P2/m (10). For the polymorph energy (0 for the lowest one), the calculation gives 0.379 eV/atom.

Cell lengths 3.093, 2.519, 4.444 Å; angles 90.00, 105.68, 90.00 degrees
Fractional coordinates of all 4 atoms:
Tc  0.000  0.000  0.000
C  0.000  0.000  0.500
C  0.273  0.500  0.398
C  0.727  0.500  0.602